1.
VCd2N | GGA-PBE | relaxed

Cell and atoms, written as POSCAR:
```
VCd2N
1.0
8.986 0.000 0.000
0.000 8.986 0.000
0.000 0.000 3.781
V Cd N
4 8 4
direct
0.000 0.000 0.000
0.000 0.500 0.250
0.500 0.000 0.750
0.500 0.500 0.500
0.128 0.250 0.625
0.250 0.628 0.875
0.250 0.872 0.375
0.372 0.250 0.125
0.628 0.750 0.125
0.750 0.128 0.375
0.750 0.372 0.875
0.872 0.750 0.625
0.000 0.000 0.500
0.000 0.500 0.750
0.500 0.000 0.250
0.500 0.500 0.000
```

Results
The uncorrected formation energy comes out at 0.2811 eV per atom. As for the size of the total moment: 9.1 μB/cell. For the electronic total energy, the calculation gives -4.537 eV/atom.

2.
V3CdN | GGA-PBE | relaxed

Cell and atoms, written as POSCAR:
```
V3CdN
1.0
4.024 0.000 0.000
0.000 4.024 0.000
0.000 0.000 4.024
V Cd N
3 1 1
direct
0.000 0.000 0.500
0.000 0.500 0.000
0.500 0.000 0.000
0.500 0.500 0.500
0.000 0.000 0.000
```

Results
The uncorrected formation energy comes out at -0.3619 eV per atom. As for the size of the total moment: 1.0 μB/cell. For the energy relative to the lowest polymorph listed for this composition, the calculation gives 0 meV/atom. For the electronic total energy, the calculation gives -7.681 eV/atom.

3.
Y2VCdN | GGA-PBE | relaxed

Cell and atoms, written as POSCAR:
```
Y2VCdN
1.0
5.002 0.000 0.000
0.000 5.002 0.000
0.000 0.000 3.932
Y V Cd N
2 1 1 1
direct
0.000 0.500 0.000
0.500 0.000 0.000
0.000 0.000 0.500
0.500 0.500 0.500
0.000 0.000 0.000
```

Results
The uncorrected formation energy comes out at -0.7199 eV per atom. As for the size of the total moment: 2.1 μB/cell. For the electronic total energy, the calculation gives -6.977 eV/atom.

Q: Which value of electronic total energy does entry 3 give?
A: -6.977 eV/atom